[1]
This record from Alexandria describes NiMoAu after structural relaxation. The functional is PBEsol.

Geometry as extended XYZ:
```
3
Lattice="2.7231 0.0000 0.0000 0.0000 2.7231 0.0000 -1.3616 -1.3616 5.6879" Properties=species:S:1:pos:R:3 pbc="T T T"
Au 1.3616 1.3616 5.6209
Mo 1.3615 1.3615 2.0526
Ni 0.0000 0.0000 3.7024
```

Computed properties:
Space-group type ... No. 107
Calculated formation energy ... 0.0539 eV per atom
Energy ... -7.229 eV/atom

[2]
This record from Alexandria describes NiMo3Au after structural relaxation. The functional is PBEsol.

Geometry as extended XYZ:
```
5
Lattice="4.3937 0.0000 0.0000 0.0000 4.3937 0.0000 0.0000 0.0000 4.3937" Properties=species:S:1:pos:R:3 pbc="T T T"
Mo 0.0000 0.0000 2.1968
Mo 2.1968 0.0000 0.0000
Mo 0.0000 2.1968 0.0000
Ni 0.0000 0.0000 0.0000
Au 2.1968 2.1968 2.1968
```

Computed properties:
Space-group type ... No. 221
Calculated formation energy ... 1.2778 eV per atom
Energy ... -7.799 eV/atom

[3]
This record from Alexandria describes NiMoAu2 after structural relaxation. The functional is PBEsol.

Geometry as extended XYZ:
```
4
Lattice="-0.4233 2.3469 -1.3350 -3.3505 0.4772 1.9013 2.6914 2.7877 4.0431" Properties=species:S:1:pos:R:3 pbc="T T T"
Au 2.0008 2.0736 3.0054
Au 0.2673 3.0610 -0.2973
Ni -0.5412 2.8059 2.3047
Mo -1.8869 1.4120 0.2831
```

Computed properties:
Space-group type ... No. 47
Calculated formation energy ... 0.2275 eV per atom
Energy ... -6.216 eV/atom
Energy relative to the lowest polymorph listed for this composition ... 0.0 meV per atom

[4]
This record from Alexandria describes ReNiMoAu2 after structural relaxation. The functional is PBEsol.

Geometry as extended XYZ:
```
5
Lattice="-2.4720 -2.1919 -2.6520 2.3930 -3.7265 0.8495 -2.7722 -1.0023 3.4125" Properties=species:S:1:pos:R:3 pbc="T T T"
Mo -1.2360 -1.0960 -1.3260
Ni 0.0000 0.0000 0.0000
Re -1.4256 -3.4604 0.8050
Au 1.1965 -1.8633 0.4247
Au -1.3861 -0.5011 1.7062
```

Computed properties:
Space-group type ... No. 123
Calculated formation energy ... 1.5623 eV per atom
Energy ... -6.259 eV/atom

[5]
This record from Alexandria describes Mo2OsAu after structural relaxation. The functional is PBEsol.

Geometry as extended XYZ:
```
4
Lattice="3.9902 0.0000 0.0000 0.0000 3.8796 0.0000 0.0000 0.0000 3.8796" Properties=species:S:1:pos:R:3 pbc="T T T"
Mo 0.0000 1.9398 0.0000
Mo 0.0000 0.0000 1.9398
Os 1.9951 1.9398 1.9398
Au 1.9951 0.0000 0.0000
```

Computed properties:
Space-group type ... No. 123
Calculated formation energy ... 0.1474 eV per atom
Energy ... -9.772 eV/atom
Energy relative to the lowest polymorph listed for this composition ... 62.8 meV per atom

[6]
This record from Alexandria describes MoOs2Au after structural relaxation. The functional is PBEsol.

Geometry as extended XYZ:
```
4
Lattice="-1.0770 2.5130 -0.3341 -2.7339 0.3322 -0.0418 -1.2619 2.1567 8.9370" Properties=species:S:1:pos:R:3 pbc="T T T"
Os -3.8045 3.7676 6.5418
Os -1.2683 1.2344 2.0195
Mo 0.0000 0.0000 0.0000
Au -2.5364 2.5010 4.2806
```

Computed properties:
Space-group type ... No. 166
Calculated formation energy ... 0.2601 eV per atom
Energy ... -9.771 eV/atom

[7]
This record from Alexandria describes Mo3OsAu after structural relaxation. The functional is PBEsol.

Geometry as extended XYZ:
```
5
Lattice="4.6525 0.0000 0.0000 0.0000 4.6525 0.0000 0.0000 0.0000 4.6525" Properties=species:S:1:pos:R:3 pbc="T T T"
Mo 0.0000 2.3262 0.0000
Mo 2.3262 0.0000 0.0000
Mo 0.0000 0.0000 2.3262
Os 0.0000 0.0000 0.0000
Au 2.3262 2.3262 2.3262
```

Computed properties:
Space-group type ... No. 221
Calculated formation energy ... 1.6939 eV per atom
Energy ... -8.595 eV/atom

[8]
This record from Alexandria describes Mo2OsAu after structural relaxation. The functional is PBEsol.

Geometry as extended XYZ:
```
4
Lattice="2.8090 0.0000 0.0000 -1.4045 4.5949 0.0047 0.0000 -0.8861 4.7294" Properties=species:S:1:pos:R:3 pbc="T T T"
Au 1.4045 2.0948 1.1532
Mo 0.0000 1.6066 3.4638
Mo 1.4045 3.6904 4.7279
Os 1.4045 -0.4173 2.4882
```

Computed properties:
Space-group type ... No. 8
Calculated formation energy ... 0.2312 eV per atom
Energy ... -9.688 eV/atom
Energy relative to the lowest polymorph listed for this composition ... 146.6 meV per atom

In the order shown, the computed spin magnetization values come out to 0.00, 0.00, 0.00, 0.36, 0.00, 0.00, 0.00, 0.00 Bohr magnetons per cell.